1.
Below is a relaxed HIrSe crystal, with properties calculated at the GGA-PBE level.

Structure (POSCAR):
```
HIrSe
1.0
3.9119 0.0000 -0.0147
0.0000 4.8668 0.0000
-0.6460 0.0000 8.9994
H Ir Se
4 4 4
Direct
0.0000 0.7980 0.0000
0.0000 0.2020 0.0000
0.0000 0.2980 0.5000
0.0000 0.7020 0.5000
0.2482 0.5000 0.3869
0.2482 0.0000 0.8869
0.7518 0.0000 0.1131
0.7518 0.5000 0.6131
0.7088 0.5000 0.2103
0.2912 0.5000 0.7897
0.2912 0.0000 0.2897
0.7088 0.0000 0.7103
```

Calculated values
The calculation puts the offset from the most stable computed form at 0.071 eV/atom. The total energy comes out at -5.220 eV/atom. The volume is 171 Å³ per cell.

---

2.
Below is a relaxed VHIr2Se crystal, with properties calculated at the GGA-PBE level.

Structure (POSCAR):
```
VHIr2Se
1.0
-0.7953 1.3387 4.3032
-4.1440 -1.7964 -0.2070
1.6485 -3.9804 1.5430
V Ir H Se
1 2 1 1
Direct
0.0000 0.5000 0.0000
0.5000 0.0000 0.0000
0.0000 0.0000 0.5000
0.5000 0.5000 0.5000
0.0000 0.0000 0.0000
```

Calculated values
The total energy comes out at -5.070 eV/atom. The volume is 95 Å³ per cell.

---

no.,spin magnetization (μB/f.u.)
1,0.00
2,0.75